This record from Alexandria describes crystalline LiMgMn2 at its relaxed geometry. The functional is PBE-GGA.

Lattice parameters (Å, degrees): 4.3855 4.3855 6.2165 90.00 90.00 90.00
With the nearest neighbours (Å) after each atom.
Space group I-4m2 (No. 119)
Inequivalent atoms, fractional coordinates:
Li1 0.0000 0.0000 0.0000 [2 per cell]  4 Mn 2.69, 4 Mg 2.69
Mg1 0.0000 0.5000 0.7500 [2 per cell]  4 Mn 2.69, 4 Li 2.69
Mn1 0.0000 0.0000 0.5000 [2 per cell]  4 Mn 2.69, 4 Mg 2.69
Mn2 0.0000 0.5000 0.2500 [2 per cell]  4 Mn 2.69, 4 Li 2.69

Calculated values
The calculation puts the magnetic moment at 1.191 μB per cell. The value obtained for the formation energy is 0.252 eV per atom. Its calculated volume is 59.8 Å³/f.u.